1.
The following is a PBE-GGA calculation of an optimized crystal structure of CdNi2Pt2, from Alexandria via LeMat-Bulk.

POSCAR file:
```
CdNi2Pt2
1.0
7.387 0.000 0.000
0.000 7.387 0.000
0.000 0.000 2.786
Ni Pt Cd
4 4 2
Cartesian
1.207 4.901 1.393
4.901 6.180 1.393
6.180 2.486 1.393
2.486 1.207 1.393
2.702 6.396 0.000
6.396 4.685 0.000
4.685 0.991 0.000
0.991 2.702 0.000
0.000 0.000 0.000
3.694 3.694 0.000
```

- energy (eV/atom) = -4.94
- space-group type = P4/mbm

***

2.
The following is a PBE-GGA calculation of an optimized crystal structure of CdNiPt2, from Alexandria via LeMat-Bulk.

POSCAR file:
```
CdNiPt2
1.0
-0.759 -1.807 -4.412
1.835 -2.643 -3.599
-1.767 -4.368 1.144
Cd Ni Pt
1 1 2
Cartesian
-0.342 -4.421 -3.457
-0.129 -2.130 -1.780
1.047 -4.490 -7.959
-0.537 -6.637 -5.113
```

- energy (eV/atom) = -4.79
- space-group type = Cm

***

3.
The following is a PBE-GGA calculation of an optimized crystal structure of Cd2NiPt, from Alexandria via LeMat-Bulk.

POSCAR file:
```
Cd2NiPt
1.0
-2.598 -1.490 -0.290
1.492 -2.613 0.050
-0.693 -0.253 7.506
Cd Ni Pt
2 1 1
Cartesian
-0.674 -0.246 7.299
-0.756 -2.125 2.081
-0.359 -0.131 3.885
-1.050 -2.233 5.259
```

- energy (eV/atom) = -3.48
- space-group type = P4mm

***

4.
The following is a PBE-GGA calculation of an optimized crystal structure of CdNiPt2, from Alexandria via LeMat-Bulk.

POSCAR file:
```
CdNiPt2
1.0
-3.466 -2.223 2.511
-0.748 -4.341 -1.965
4.060 2.171 1.438
Cd Ni Pt
1 1 2
Cartesian
-2.107 -3.282 0.273
-0.757 -1.667 2.111
0.000 0.000 0.000
0.603 -2.726 -0.127
```

- energy (eV/atom) = -4.78
- space-group type = I-4m2

***

The evaluated energy of formation from the pure elements for the records listed, in turn: -0.028; -0.094; -0.063; -0.085 eV per atom.
The evaluated magnetic moment for the records listed, in turn: 2.172; 0.891; 0.000; 0.792 Bohr magnetons per cell.
The evaluated calculated volume for the records listed, in turn: 152.0; 62.5; 68.3; 62.4 Å³/cell.